[1]
Crystalline CsFe3Cl12 at its relaxed geometry, computed with PBE.

CIF file:
```
data_CsFe3Cl12
_chemical_formula_sum 'Cs6 Fe18 Cl72'
_space_group_name_H-M_alt 'R 3 c'
_space_group_IT_number 161
_space_group_name_Hall 'R 3 -2"c'
_cell_length_a 11.3339
_cell_length_b 11.3339
_cell_length_c 35.7641
_cell_angle_alpha 90.00
_cell_angle_beta 90.00
_cell_angle_gamma 120.00
loop_
_atom_site_label
_atom_site_type_symbol
_atom_site_fract_x
_atom_site_fract_y
_atom_site_fract_z
Cs1 Cs 0.0000 0.0000 0.0000
Fe1 Fe 0.0032 0.3509 0.2545
Cl1 Cl 0.0237 0.4578 0.3062
Cl2 Cl 0.0262 0.5010 0.0929
Cl3 Cl 0.1168 0.3447 0.5356
Cl4 Cl 0.1583 0.3497 0.7498
```

Calculated values
Calculated total energy (eV/atom): -3.8530
Formation energy from raw total energies (meV per atom): -828
Density (g cm⁻³): 1.82

[2]
Crystalline Cs2FeCl at its relaxed geometry, computed with PBE.

CIF file:
```
data_Cs2FeCl
_chemical_formula_sum 'Cs8 Fe4 Cl4'
_space_group_name_H-M_alt 'F m -3 m'
_space_group_IT_number 225
_space_group_name_Hall '-F 4 2 3'
_cell_length_a 8.806
_cell_length_b 8.806
_cell_length_c 8.806
_cell_angle_alpha 90.00
_cell_angle_beta 90.00
_cell_angle_gamma 90.00
loop_
_atom_site_label
_atom_site_type_symbol
_atom_site_fract_x
_atom_site_fract_y
_atom_site_fract_z
Cs1 Cs 0.250 0.250 0.250
Fe1 Fe 0.000 0.000 0.000
Cl1 Cl 0.000 0.000 0.500
```

Calculated values
Calculated total energy (eV/atom): -3.0326
Formation energy from raw total energies (meV per atom): -29
Density (g cm⁻³): 3.47

[3]
Crystalline Cs3Fe2Cl9 at its relaxed geometry, computed with PBE.

CIF file:
```
data_Cs3Fe2Cl9
_chemical_formula_sum 'Cs3 Fe2 Cl9'
_space_group_name_H-M_alt 'P -3 m 1'
_space_group_IT_number 164
_space_group_name_Hall '-P 3 2"'
_cell_length_a 7.3084
_cell_length_b 7.3084
_cell_length_c 9.1212
_cell_angle_alpha 90.00
_cell_angle_beta 90.00
_cell_angle_gamma 120.00
loop_
_atom_site_label
_atom_site_type_symbol
_atom_site_fract_x
_atom_site_fract_y
_atom_site_fract_z
Cs1 Cs 0.0000 0.0000 0.0000
Cs2 Cs 0.3333 0.6667 0.3315
Fe1 Fe 0.3333 0.6667 0.8201
Cl1 Cl 0.0000 0.5000 0.0000
Cl2 Cl 0.1785 0.3569 0.6918
```

Calculated values
Calculated total energy (eV/atom): -3.8847
Formation energy from raw total energies (meV per atom): -1306
Density (g cm⁻³): 3.26

[4]
Crystalline Cs2Fe2Cl7 at its relaxed geometry, computed with PBE.

CIF file:
```
data_Cs2Fe2Cl7
_chemical_formula_sum 'Cs4 Fe4 Cl14'
_space_group_name_H-M_alt 'C 1 2/m 1'
_space_group_IT_number 12
_space_group_name_Hall '-C 2y'
_cell_length_a 10.461
_cell_length_b 13.167
_cell_length_c 6.703
_cell_angle_alpha 90.00
_cell_angle_beta 97.88
_cell_angle_gamma 90.00
loop_
_atom_site_label
_atom_site_type_symbol
_atom_site_fract_x
_atom_site_fract_y
_atom_site_fract_z
Cs1 Cs 0.000 0.206 0.000
Fe1 Fe 0.212 0.500 0.438
Cl1 Cl 0.000 0.500 0.500
Cl2 Cl 0.162 0.000 0.265
Cl3 Cl 0.240 0.359 0.264
```

Calculated values
Calculated total energy (eV/atom): -4.1245
Formation energy from raw total energies (meV per atom): -1256
Density (g cm⁻³): 2.27

[5]
Crystalline CsGa2FeCl8 at its relaxed geometry, computed with PBE.

CIF file:
```
data_CsGa2FeCl8
_chemical_formula_sum 'Cs3 Ga6 Fe3 Cl24'
_space_group_name_H-M_alt 'R -3'
_space_group_IT_number 148
_space_group_name_Hall '-R 3'
_cell_length_a 6.4472
_cell_length_b 6.4472
_cell_length_c 29.1840
_cell_angle_alpha 90.00
_cell_angle_beta 90.00
_cell_angle_gamma 120.00
loop_
_atom_site_label
_atom_site_type_symbol
_atom_site_fract_x
_atom_site_fract_y
_atom_site_fract_z
Cs1 Cs 0.0000 0.0000 0.0000
Ga1 Ga 0.0000 0.0000 0.2383
Fe1 Fe 0.0000 0.0000 0.5000
Cl1 Cl 0.0000 0.0000 0.3149
Cl2 Cl 0.0086 0.6871 0.4499
```

Calculated values
Calculated total energy (eV/atom): -3.6183
Formation energy from raw total energies (meV per atom): -1106
Density (g cm⁻³): 2.90

[6]
Crystalline Cs2GaFeCl6 at its relaxed geometry, computed with PBE.

CIF file:
```
data_Cs2GaFeCl6
_chemical_formula_sum 'Cs4 Ga2 Fe2 Cl12'
_space_group_name_H-M_alt 'I 4/m m m'
_space_group_IT_number 139
_space_group_name_Hall '-I 4 2'
_cell_length_a 7.379
_cell_length_b 7.379
_cell_length_c 10.437
_cell_angle_alpha 90.00
_cell_angle_beta 90.00
_cell_angle_gamma 90.00
loop_
_atom_site_label
_atom_site_type_symbol
_atom_site_fract_x
_atom_site_fract_y
_atom_site_fract_z
Cs1 Cs 0.000 0.500 0.250
Ga1 Ga 0.000 0.000 0.000
Fe1 Fe 0.000 0.000 0.500
Cl1 Cl 0.000 0.000 0.267
Cl2 Cl 0.235 0.235 0.500
```

Calculated values
Calculated total energy (eV/atom): -3.7204
Formation energy from raw total energies (meV per atom): -1293
Density (g cm⁻³): 3.53